Entry 1:
A relaxed NaP2SCl crystal, computed with GGA-PBE. Values from VASP.

The structure in Quantum ESPRESSO input format:
```
&SYSTEM
  ibrav = 0, nat = 5, ntyp = 4
/
ATOMIC_SPECIES
P 30.97 P.upf
S 32.06 S.upf
Na 22.99 Na.upf
Cl 35.45 Cl.upf
ATOMIC_POSITIONS angstrom
P 2.203 0.000 0.000
P 0.000 2.203 0.000
S 0.000 0.000 0.000
Na 2.203 2.203 3.895
Cl 0.000 0.000 3.895
CELL_PARAMETERS angstrom
4.406 0.000 0.000
0.000 4.406 0.000
0.000 0.000 7.790
```

Results
Total moment   0.0 μB per cell
SG   No. 123
Energy above the most stable polymorph in this dataset   0.000 eV per atom
ΔE_f (raw)   0.167 eV per atom

---

Entry 2:
A relaxed NaP2SCl crystal, computed with GGA-PBE. Values from VASP.

The structure in Quantum ESPRESSO input format:
```
&SYSTEM
  ibrav = 0, nat = 5, ntyp = 4
/
ATOMIC_SPECIES
Cl 35.45 Cl.upf
P 30.97 P.upf
S 32.06 S.upf
Na 22.99 Na.upf
ATOMIC_POSITIONS angstrom
Cl -1.792 -1.238 0.786
P -0.658 -0.577 -2.409
P 1.484 -2.088 0.095
S -0.966 -3.903 -1.528
Na 0.000 0.000 0.000
CELL_PARAMETERS angstrom
-1.316 -1.155 -4.818
2.968 -4.176 0.190
-3.584 -2.476 1.572
```

Results
Total moment   0.8 μB per cell
SG   No. 123
Energy above the most stable polymorph in this dataset   1.097 eV per atom
ΔE_f (raw)   1.264 eV per atom

---

Entry 3:
A relaxed NaP2SCl crystal, computed with GGA-PBE. Values from VASP.

The structure in Quantum ESPRESSO input format:
```
&SYSTEM
  ibrav = 0, nat = 5, ntyp = 4
/
ATOMIC_SPECIES
S 32.06 S.upf
P 30.97 P.upf
Cl 35.45 Cl.upf
Na 22.99 Na.upf
ATOMIC_POSITIONS angstrom
S 2.058 -0.973 -0.674
P -0.085 -1.575 2.017
P -1.274 -1.724 -1.400
Cl 0.700 -4.273 -0.057
Na 0.000 0.000 0.000
CELL_PARAMETERS angstrom
-0.170 -3.150 4.034
-2.547 -3.449 -2.800
4.117 -1.947 -1.347
```

Results
Total moment   1.3 μB per cell
SG   No. 123
Energy above the most stable polymorph in this dataset   1.212 eV per atom
ΔE_f (raw)   1.379 eV per atom

---

Entry 4:
A relaxed NaP2SCl crystal, computed with GGA-PBE. Values from VASP.

The structure in Quantum ESPRESSO input format:
```
&SYSTEM
  ibrav = 0, nat = 5, ntyp = 4
/
ATOMIC_SPECIES
Cl 35.45 Cl.upf
P 30.97 P.upf
S 32.06 S.upf
Na 22.99 Na.upf
ATOMIC_POSITIONS angstrom
Cl 0.000 0.000 0.000
P -0.037 0.702 -2.266
P 1.403 -1.821 -0.587
S -2.004 -1.413 -0.405
Na -0.638 -2.532 -3.258
CELL_PARAMETERS angstrom
-0.073 1.404 -4.532
2.805 -3.643 -1.174
-4.008 -2.825 -0.810
```

Results
Total moment   1.3 μB per cell
SG   No. 123
Energy above the most stable polymorph in this dataset   0.700 eV per atom
ΔE_f (raw)   0.867 eV per atom

---

Entry 5:
A relaxed NaSbP2Cl crystal, computed with GGA-PBE. Values from VASP.

The structure in Quantum ESPRESSO input format:
```
&SYSTEM
  ibrav = 0, nat = 5, ntyp = 4
/
ATOMIC_SPECIES
P 30.97 P.upf
Na 22.99 Na.upf
Cl 35.45 Cl.upf
Sb 121.76 Sb.upf
ATOMIC_POSITIONS angstrom
P 0.000 2.551 0.000
P 2.551 0.000 0.000
Na 2.551 2.551 2.823
Cl 0.000 0.000 2.823
Sb 0.000 0.000 0.000
CELL_PARAMETERS angstrom
5.101 0.000 0.000
0.000 5.101 0.000
0.000 0.000 5.646
```

Results
Total moment   1.0 μB per cell
SG   No. 123
Energy above the most stable polymorph in this dataset   0.000 eV per atom
ΔE_f (raw)   0.255 eV per atom

---

Entry 6:
A relaxed NaSbPCl2 crystal, computed with GGA-PBE. Values from VASP.

The structure in Quantum ESPRESSO input format:
```
&SYSTEM
  ibrav = 0, nat = 5, ntyp = 4
/
ATOMIC_SPECIES
P 30.97 P.upf
Sb 121.76 Sb.upf
Cl 35.45 Cl.upf
Na 22.99 Na.upf
ATOMIC_POSITIONS angstrom
P 0.000 0.000 2.600
Sb 0.000 0.000 0.000
Cl 0.000 2.732 0.000
Cl 2.732 0.000 0.000
Na 2.732 2.732 2.600
CELL_PARAMETERS angstrom
5.465 0.000 0.000
0.000 5.465 0.000
0.000 0.000 5.200
```

Results
Total moment   0.7 μB per cell
SG   No. 123
Energy above the most stable polymorph in this dataset   0.000 eV per atom
ΔE_f (raw)   -0.310 eV per atom

---

Entry 7:
A relaxed NaSbP2Cl crystal, computed with GGA-PBE. Values from VASP.

The structure in Quantum ESPRESSO input format:
```
&SYSTEM
  ibrav = 0, nat = 5, ntyp = 4
/
ATOMIC_SPECIES
P 30.97 P.upf
Cl 35.45 Cl.upf
Na 22.99 Na.upf
Sb 121.76 Sb.upf
ATOMIC_POSITIONS angstrom
P 0.000 2.526 0.000
P 2.526 0.000 0.000
Cl 0.000 0.000 2.354
Na 0.000 0.000 0.000
Sb 2.526 2.526 2.354
CELL_PARAMETERS angstrom
5.052 0.000 0.000
0.000 5.052 0.000
0.000 0.000 4.707
```

Results
Total moment   0.0 μB per cell
SG   No. 123
Energy above the most stable polymorph in this dataset   0.594 eV per atom
ΔE_f (raw)   0.849 eV per atom

---

Entry 8:
A relaxed NaSbPCl2 crystal, computed with GGA-PBE. Values from VASP.

The structure in Quantum ESPRESSO input format:
```
&SYSTEM
  ibrav = 0, nat = 5, ntyp = 4
/
ATOMIC_SPECIES
Cl 35.45 Cl.upf
P 30.97 P.upf
Na 22.99 Na.upf
Sb 121.76 Sb.upf
ATOMIC_POSITIONS angstrom
Cl 0.000 2.399 0.000
Cl 2.399 0.000 0.000
P 0.000 0.000 2.791
Na 0.000 0.000 0.000
Sb 2.399 2.399 2.791
CELL_PARAMETERS angstrom
4.797 0.000 0.000
0.000 4.797 0.000
0.000 0.000 5.582
```

Results
Total moment   1.0 μB per cell
SG   No. 123
Energy above the most stable polymorph in this dataset   0.457 eV per atom
ΔE_f (raw)   0.147 eV per atom